(A)
A plane-wave DFT calculation with PBE+U was carried out for a relaxed VCoN2F crystal.

N(E_F)	0.365	states/eV per atom
volume	59.47	Å³/cell

Unit cell a=4.1625 b=4.1625 c=3.4324 alpha=90.00 beta=90.00 gamma=90.00
Last column: nearest neighbours and their distance in Å.
Element x y z (fractional)
V  0.0000  0.0000  0.0000  8 N 2.70, 4 Co 2.94
Co  0.5000  0.5000  0.0000  2 F 1.72
N  0.0000  0.5000  0.5000  2 F 2.08
N  0.5000  0.0000  0.5000  2 F 2.08
F  0.5000  0.5000  0.5000  2 Co 1.72

---

(B)
A plane-wave DFT calculation with PBE+U was carried out for a relaxed VCoN2F crystal.

N(E_F)	0.558	states/eV per atom
volume	51.15	Å³/cell

Unit cell a=3.7167 b=3.7167 c=3.7029 alpha=90.00 beta=90.00 gamma=90.00
Last column: nearest neighbours and their distance in Å.
Element x y z (fractional)
V  0.0000  0.0000  0.0000  8 N 2.62, 4 F 2.63
Co  0.5000  0.5000  0.5000  2 F 1.85, 4 N 1.86
N  0.0000  0.5000  0.5000  2 Co 1.86
N  0.5000  0.0000  0.5000  2 Co 1.86
F  0.5000  0.5000  0.0000  2 Co 1.85

---

(C)
A plane-wave DFT calculation with PBE+U was carried out for a relaxed VCoN2F crystal.

N(E_F)	0.358	states/eV per atom
volume	55.83	Å³/cell

Unit cell a=3.8417 b=3.8417 c=3.7831 alpha=90.00 beta=90.00 gamma=90.00
Last column: nearest neighbours and their distance in Å.
Element x y z (fractional)
V  0.0000  0.0000  0.0000  2 F 1.89, 4 N 1.92
Co  0.5000  0.5000  0.5000  8 N 2.70, 4 F 2.72
N  0.0000  0.5000  0.0000  2 V 1.92
N  0.5000  0.0000  0.0000  2 V 1.92
F  0.0000  0.0000  0.5000  2 V 1.89

---

What should be chosen as the most stable of them? Choose (C).

---

(A)
A plane-wave DFT calculation with PBE+U was carried out for a relaxed CoWN2F crystal.

N(E_F)	0.177	states/eV per atom
volume	51.25	Å³/cell

Unit cell a=3.8397 b=3.8397 c=3.4759 alpha=90.00 beta=90.00 gamma=90.00
Last column: nearest neighbours and their distance in Å.
Element x y z (fractional)
Co  0.0000  0.0000  0.0000  2 F 1.74, 4 N 1.92
W  0.5000  0.5000  0.5000  8 N 2.59, 4 F 2.72
N  0.0000  0.5000  0.0000  2 Co 1.92
N  0.5000  0.0000  0.0000  2 Co 1.92
F  0.0000  0.0000  0.5000  2 Co 1.74

---

(B)
A plane-wave DFT calculation with PBE+U was carried out for a relaxed CoWN2F crystal.

N(E_F)	0.630	states/eV per atom
volume	65.33	Å³/cell

Unit cell a=4.0112 b=4.0112 c=4.0607 alpha=90.00 beta=90.00 gamma=90.00
Last column: nearest neighbours and their distance in Å.
Element x y z (fractional)
Co  0.0000  0.0000  0.0000  4 F 2.84, 8 N 2.85
W  0.5000  0.5000  0.5000  4 N 2.01, 2 F 2.03
N  0.0000  0.5000  0.5000  2 W 2.01
N  0.5000  0.0000  0.5000  2 W 2.01
F  0.5000  0.5000  0.0000  2 W 2.03

---

What should be chosen as the most stable of them? Choose (B).

---

(A)
A plane-wave DFT calculation with PBE+U was carried out for a relaxed CoWNF2 crystal.

N(E_F)	1.012	states/eV per atom
volume	70.99	Å³/cell

Unit cell a=4.2346 b=4.2346 c=3.9588 alpha=90.00 beta=90.00 gamma=90.00
Last column: nearest neighbours and their distance in Å.
Element x y z (fractional)
Co  0.0000  0.0000  0.0000  8 F 2.90, 4 N 2.99
W  0.5000  0.5000  0.5000  2 N 1.98, 4 F 2.12
N  0.5000  0.5000  0.0000  2 W 1.98
F  0.0000  0.5000  0.5000  2 W 2.12
F  0.5000  0.0000  0.5000  2 W 2.12

---

(B)
A plane-wave DFT calculation with PBE+U was carried out for a relaxed CoWNF2 crystal.

N(E_F)	0.290	states/eV per atom
volume	61.15	Å³/cell

Unit cell a=3.5785 b=3.5785 c=4.7749 alpha=90.00 beta=90.00 gamma=90.00
Last column: nearest neighbours and their distance in Å.
Element x y z (fractional)
Co  0.0000  0.0000  0.0000  4 F 1.79
W  0.5000  0.5000  0.5000  4 N 2.53
N  0.0000  0.0000  0.5000  2 Co 2.39, 4 W 2.53
F  0.0000  0.5000  0.0000  2 Co 1.79
F  0.5000  0.0000  0.0000  2 Co 1.79

---

What should be chosen as the most stable of them? Choose (A).

---

(A)
A plane-wave DFT calculation with PBE+U was carried out for a relaxed YCoN2F crystal.

N(E_F)	0.542	states/eV per atom
volume	85.18	Å³/cell

Unit cell a=4.4805 b=4.4805 c=4.2430 alpha=90.00 beta=90.00 gamma=90.00
Last column: nearest neighbours and their distance in Å.
Element x y z (fractional)
Y  0.0000  0.0000  0.0000  2 F 2.12, 4 N 2.24
Co  0.5000  0.5000  0.5000  8 N 3.09, 4 F 3.17
N  0.0000  0.5000  0.0000  2 Y 2.24
N  0.5000  0.0000  0.0000  2 Y 2.24
F  0.0000  0.0000  0.5000  2 Y 2.12

---

(B)
A plane-wave DFT calculation with PBE+U was carried out for a relaxed YCoN2F crystal.

N(E_F)	0.416	states/eV per atom
volume	56.24	Å³/cell

Unit cell a=3.7639 b=3.7639 c=3.9696 alpha=90.00 beta=90.00 gamma=90.00
Last column: nearest neighbours and their distance in Å.
Element x y z (fractional)
Y  0.0000  0.0000  0.0000  4 F 2.66, 8 N 2.74
Co  0.5000  0.5000  0.5000  4 N 1.88, 2 F 1.98
N  0.0000  0.5000  0.5000  2 Co 1.88
N  0.5000  0.0000  0.5000  2 Co 1.88
F  0.5000  0.5000  0.0000  2 Co 1.98

---

What should be chosen as the most stable of them? Choose (B).

---

(A)
A plane-wave DFT calculation with PBE+U was carried out for a relaxed YCoNF2 crystal.

N(E_F)	0.305	states/eV per atom
volume	61.49	Å³/cell

Unit cell a=3.9109 b=3.9109 c=4.0199 alpha=90.00 beta=90.00 gamma=90.00
Last column: nearest neighbours and their distance in Å.
Element x y z (fractional)
Y  0.0000  0.0000  0.0000  4 N 2.77, 8 F 2.80
Co  0.5000  0.5000  0.5000  4 F 1.96, 2 N 2.01
N  0.5000  0.5000  0.0000  2 Co 2.01
F  0.0000  0.5000  0.5000  2 Co 1.96
F  0.5000  0.0000  0.5000  2 Co 1.96

---

(B)
A plane-wave DFT calculation with PBE+U was carried out for a relaxed YCoNF2 crystal.

N(E_F)	0.330	states/eV per atom
volume	85.11	Å³/cell

Unit cell a=4.2790 b=4.2790 c=4.6482 alpha=90.00 beta=90.00 gamma=90.00
Last column: nearest neighbours and their distance in Å.
Element x y z (fractional)
Y  0.0000  0.0000  0.0000  4 F 2.14, 2 N 2.32
Co  0.5000  0.5000  0.5000  4 N 3.03, 8 F 3.16
N  0.0000  0.0000  0.5000  2 Y 2.32
F  0.0000  0.5000  0.0000  2 Y 2.14
F  0.5000  0.0000  0.0000  2 Y 2.14

---

What should be chosen as the most stable of them? Choose (A).

---

(A)
A plane-wave DFT calculation with PBE+U was carried out for a relaxed NaCo3F crystal.

N(E_F)	0.425	states/eV per atom
volume	105.90	Å³/cell

Unit cell a=4.7311 b=4.7311 c=4.7311 alpha=90.00 beta=90.00 gamma=90.00
Last column: nearest neighbours and their distance in Å.
Element x y z (fractional)
Na  0.0000  0.0000  0.0000  6 Co 2.37
Co  0.0000  0.0000  0.5000  2 Na 2.37
Co  0.0000  0.5000  0.0000  2 Na 2.37
Co  0.5000  0.0000  0.0000  2 Na 2.37
F  0.5000  0.5000  0.5000  12 Co 3.35

---

(B)
A plane-wave DFT calculation with PBE+U was carried out for a relaxed NaCo3F crystal.

N(E_F)	0.451	states/eV per atom
volume	83.24	Å³/cell

Unit cell a=4.3663 b=4.3663 c=4.3663 alpha=90.00 beta=90.00 gamma=90.00
Last column: nearest neighbours and their distance in Å.
Element x y z (fractional)
Na  0.0000  0.0000  0.0000  12 Co 3.09
Co  0.0000  0.5000  0.5000  2 F 2.18
Co  0.5000  0.0000  0.5000  2 F 2.18
Co  0.5000  0.5000  0.0000  2 F 2.18
F  0.5000  0.5000  0.5000  6 Co 2.18

---

What should be chosen as the most stable of them? Choose (B).